Compound: AgHg2Se
Source: Alexandria via LeMat-Bulk
Functional: GGA-PBE
Structure: optimized geometry

Cell and atoms, written as POSCAR:
```
AgHg2Se
1.0
7.118 -1.940 0.000
7.118 1.940 0.000
-1.037 0.000 3.742
Ag Hg Se
1 2 1
Direct
0.000 0.000 0.000
0.291 0.291 0.290
0.709 0.709 0.710
0.500 0.500 0.500
```

Summary:
Space-group type: No. 12
Formation energy without anion corrections (meV per atom): 4.8
Spin magnetization (μB/f.u.): 0.00
Density (g/cm3): 9.5